(1)
A geometry-optimized SmThNi4 structure. Source: Alexandria, functional GGA-PBE.

- D(E_F) (states/eV/cell) = 8.247
- space group = Pmmm, No. 47
- calculated formation energy (kJ/mol of atoms) = -37.3

a = 3.7914 Å, b = 4.0882 Å, c = 7.0458 Å
α = 90.00°, β = 90.00°, γ = 90.00°
Last column: nearest neighbours and their distance in Å.
Fractional positions:
Ni  0.0000  0.5000  0.6675  3 Ni 2.35-2.36
Ni  0.0000  0.0000  0.8332  3 Ni 2.35
Ni  0.0000  0.0000  0.1668  3 Ni 2.35
Sm  0.5000  0.0000  0.5000  12 Ni 3.02-3.03
Ni  0.0000  0.5000  0.3325  3 Ni 2.35-2.36
Th  0.5000  0.5000  0.0000  12 Ni 3.01-3.03



(2)
A geometry-optimized LaNdAs structure. Source: Alexandria, functional GGA-PBE.

- D(E_F) (states/eV/cell) = 2.087
- space group = F-43m, No. 216
- calculated formation energy (kJ/mol of atoms) = -83.5

a = 5.0496 Å, b = 5.0496 Å, c = 5.0496 Å
α = 60.00°, β = 60.00°, γ = 60.00°
Last column: nearest neighbours and their distance in Å.
Fractional positions:
Nd  0.5000  0.5000  0.5000  4 As 3.09
La  0.0000  0.0000  0.0000  4 As 3.09
As  0.2500  0.2500  0.2500  4 La 3.09, 4 Nd 3.09



(3)
A geometry-optimized KTcCl4 structure. Source: Alexandria, functional GGA-PBE.

- space group = P-1, No. 2
- ΔE_f (raw) (meV/atom) = -1131

a = 8.1809 Å, b = 8.1994 Å, c = 7.7812 Å
α = 105.14°, β = 102.41°, γ = 119.96°
Last column: nearest neighbours and their distance in Å.
Fractional positions:
Tc  0.9996  0.6316  0.0004  1 Tc 2.16, 4 Cl 2.34-2.35
Tc  0.0004  0.3684  0.9996  1 Tc 2.16, 4 Cl 2.34-2.35
Cl  0.8761  0.2917  0.2329  1 Tc 2.34
Cl  0.1239  0.7083  0.7671  1 Tc 2.34
Cl  0.3298  0.5197  0.2353  1 Tc 2.35
K  0.4405  0.2196  0.9995  8 Cl 3.28-3.31
K  0.5595  0.7804  0.0005  8 Cl 3.28-3.31
Cl  0.8746  0.6979  0.2348  1 Tc 2.35
Cl  0.6724  0.0747  0.7639  1 Tc 2.34
Cl  0.3276  0.9253  0.2361  1 Tc 2.34
Cl  0.1254  0.3021  0.7652  1 Tc 2.35
Cl  0.6702  0.4803  0.7647  1 Tc 2.35



(4)
A geometry-optimized Sr2Cu2Au structure. Source: Alexandria, functional GGA-PBE.

- D(E_F) (states/eV/cell) = 3.368
- space group = P4/mbm, No. 127
- calculated formation energy (kJ/mol of atoms) = -22.8

a = 7.6341 Å, b = 7.6341 Å, c = 4.2562 Å
α = 90.00°, β = 90.00°, γ = 90.00°
Last column: nearest neighbours and their distance in Å.
Fractional positions:
Sr  0.1836  0.6836  0.5000  6 Cu 3.05-3.16
Sr  0.6836  0.8164  0.5000  6 Cu 3.05-3.16
Cu  0.6138  0.1138  0.0000  1 Cu 2.46
Cu  0.3862  0.8862  0.0000  1 Cu 2.46
Sr  0.3164  0.1836  0.5000  6 Cu 3.05-3.16
Cu  0.8862  0.6138  0.0000  1 Cu 2.46
Au  0.5000  0.5000  0.0000  4 Cu 3.07
Sr  0.8164  0.3164  0.5000  6 Cu 3.05-3.16
Cu  0.1138  0.3862  0.0000  1 Cu 2.46
Au  0.0000  0.0000  0.0000  4 Cu 3.07



(5)
A geometry-optimized K2ScAgI6 structure. Source: Alexandria, functional GGA-PBE.

- D(E_F) (states/eV/cell) = 0.000
- space group = Fm-3m, No. 225
- ΔE_f (raw) (meV/atom) = -1063

a = 8.3535 Å, b = 8.3535 Å, c = 8.3535 Å
α = 60.00°, β = 60.00°, γ = 60.00°
Last column: nearest neighbours and their distance in Å.
Fractional positions:
I  0.7551  0.7551  0.2449  1 Sc 2.89, 1 Ag 3.01
I  0.2449  0.2449  0.7551  1 Sc 2.89, 1 Ag 3.01
I  0.2449  0.7551  0.7551  1 Sc 2.89, 1 Ag 3.01
I  0.7551  0.2449  0.2449  1 Sc 2.89, 1 Ag 3.01
I  0.7551  0.2449  0.7551  1 Sc 2.89, 1 Ag 3.01
I  0.2449  0.7551  0.2449  1 Sc 2.89, 1 Ag 3.01
K  0.2500  0.2500  0.2500  12 I 4.18
Sc  0.0000  0.0000  0.0000  6 I 2.89
Ag  0.5000  0.5000  0.5000  6 I 3.01
K  0.7500  0.7500  0.7500  12 I 4.18



(6)
A geometry-optimized AcPr14Pb structure. Source: Alexandria, functional GGA-PBE.

- D(E_F) (states/eV/cell) = 21.952
- space group = P4/mmm, No. 123
- calculated formation energy (kJ/mol of atoms) = -4.0

a = 7.3848 Å, b = 7.3848 Å, c = 10.4481 Å
α = 90.00°, β = 90.00°, γ = 90.00°
Last column: nearest neighbours and their distance in Å.
Fractional positions:
Pr  0.3752  0.1252  0.0000  8 Pr 3.67, 2 Pb 3.69, 2 Ac 3.69
Ac  0.8750  0.1250  0.0000  12 Pr 3.69-3.72
Pr  0.3749  0.1249  0.5000  12 Pr 3.69-3.72
Pr  0.6184  0.3816  0.2470  10 Pr 3.59-3.79, 1 Pb 3.62, 1 Ac 3.72
Pr  0.1316  0.8684  0.2467  10 Pr 3.59-3.79, 1 Pb 3.62, 1 Ac 3.72
Pr  0.6184  0.3816  0.7530  10 Pr 3.59-3.79, 1 Pb 3.62, 1 Ac 3.72
Pr  0.6184  0.8684  0.7531  10 Pr 3.59-3.79, 1 Pb 3.62, 1 Ac 3.72
Pr  0.8750  0.1250  0.5000  12 Pr 3.69-3.77
Pr  0.1316  0.8684  0.7533  10 Pr 3.59-3.79, 1 Pb 3.62, 1 Ac 3.72
Pr  0.6184  0.8684  0.2469  10 Pr 3.59-3.79, 1 Pb 3.62, 1 Ac 3.72
Pr  0.3750  0.6250  0.5000  12 Pr 3.67-3.69
Pb  0.3750  0.6250  0.0000  12 Pr 3.62-3.69
Pr  0.8751  0.6251  0.5000  12 Pr 3.69-3.72
Pr  0.1316  0.3816  0.7531  10 Pr 3.59-3.79, 1 Pb 3.62, 1 Ac 3.72
Pr  0.1316  0.3816  0.2469  10 Pr 3.59-3.79, 1 Pb 3.62, 1 Ac 3.72
Pr  0.8748  0.6248  0.0000  8 Pr 3.67, 2 Pb 3.69, 2 Ac 3.69



(7)
A geometry-optimized Ba2LiSb structure. Source: Alexandria, functional GGA-PBE.

- D(E_F) (states/eV/cell) = 1.074
- space group = Amm2, No. 38
- ΔE_f (raw) (meV/atom) = -650

a = 4.9522 Å, b = 4.9614 Å, c = 6.9828 Å
α = 69.18°, β = 90.00°, γ = 90.00°
Last column: nearest neighbours and their distance in Å.
Fractional positions:
Sb  0.5000  0.5603  0.7546  2 Li 2.91
Li  0.0000  0.6775  0.5198  2 Sb 2.91
Ba  0.0000  0.9917  0.8919  2 Li 3.47, 4 Sb 3.62
Ba  0.5000  0.2706  0.3336  3 Sb 3.70-3.78, 4 Li 3.71



(8)
A geometry-optimized Pr5PuZn4 structure. Source: Alexandria, functional GGA-PBE.

- D(E_F) (states/eV/cell) = 16.976
- space group = P4/mmm, No. 123
- calculated formation energy (kJ/mol of atoms) = -18.4

a = 3.6937 Å, b = 3.6937 Å, c = 19.7825 Å
α = 90.00°, β = 90.00°, γ = 90.00°
Last column: nearest neighbours and their distance in Å.
Fractional positions:
Zn  0.0000  0.0000  0.2150  8 Pr 3.18-3.24
Zn  0.0000  0.0000  0.7850  8 Pr 3.18-3.24
Pr  0.5000  0.5000  0.6883  8 Zn 3.21-3.24
Pu  0.0000  0.0000  0.0000  8 Pr 3.58, 4 Pu 3.69
Zn  0.0000  0.0000  0.4059  8 Pr 3.21
Zn  0.0000  0.0000  0.5941  8 Pr 3.21
Pr  0.5000  0.5000  0.3117  8 Zn 3.21-3.24
Pr  0.5000  0.5000  0.1236  4 Zn 3.18
Pr  0.5000  0.5000  0.5000  8 Zn 3.21
Pr  0.5000  0.5000  0.8764  4 Zn 3.18



(9)
A geometry-optimized Nd8Dy2Tm structure. Source: Alexandria, functional GGA-PBE.

- D(E_F) (states/eV/cell) = 15.962
- space group = C2/m, No. 12
- calculated formation energy (kJ/mol of atoms) = 19.3

a = 8.6460 Å, b = 9.2710 Å, c = 9.2710 Å
α = 43.15°, β = 52.53°, γ = 52.53°
Last column: nearest neighbours and their distance in Å.
Fractional positions:
Nd  0.1951  0.8351  0.3527  4 Nd 3.29-3.66, 1 Tm 3.49, 2 Dy 3.49-3.58
Nd  0.7759  0.6080  0.6080  2 Nd 3.16-3.17, 1 Dy 3.30
Nd  0.2956  0.7410  0.7410  1 Nd 3.17, 1 Tm 3.40
Nd  0.7044  0.2590  0.2590  1 Nd 3.17, 1 Tm 3.40
Nd  0.2241  0.3920  0.3920  2 Nd 3.16-3.17, 1 Dy 3.30
Tm  0.0000  0.0000  0.0000  10 Nd 3.40-3.76, 2 Dy 3.51
Dy  0.5311  0.8559  0.8559  8 Nd 3.30-3.66, 1 Tm 3.51
Nd  0.8049  0.1649  0.6473  4 Nd 3.29-3.66, 1 Tm 3.49, 2 Dy 3.49-3.58
Nd  0.1951  0.3527  0.8351  4 Nd 3.29-3.66, 1 Tm 3.49, 2 Dy 3.49-3.58
Dy  0.4689  0.1441  0.1441  8 Nd 3.30-3.66, 1 Tm 3.51
Nd  0.8049  0.6473  0.1649  4 Nd 3.29-3.66, 1 Tm 3.49, 2 Dy 3.49-3.58



(10)
A geometry-optimized Sr8Tl2In3 structure. Source: Alexandria, functional GGA-PBE.

- D(E_F) (states/eV/cell) = 11.110
- space group = Cmmm, No. 65
- calculated formation energy (kJ/mol of atoms) = -26.3

a = 6.0941 Å, b = 9.5153 Å, c = 10.0885 Å
α = 118.14°, β = 90.00°, γ = 90.00°
Last column: nearest neighbours and their distance in Å.
Fractional positions:
In  0.5000  0.0000  0.0000  8 Sr 3.34-3.57
Sr  0.5000  0.8314  0.2252  3 In 3.34-3.68, 2 Tl 3.37-3.52
Tl  0.5000  0.2282  0.4564  8 Sr 3.37-3.76
Sr  0.5000  0.3938  0.2252  3 In 3.34-3.68, 2 Tl 3.37-3.52
Sr  0.0000  0.8956  0.7911  4 In 3.57-3.68, 2 Sr 3.72-3.82, 2 Tl 3.76
Tl  0.5000  0.7718  0.5436  8 Sr 3.37-3.76
In  0.0000  0.3338  0.0000  1 In 3.16
Sr  0.0000  0.3191  0.6382  2 Tl 3.45, 2 In 3.59, 1 Sr 3.82
Sr  0.0000  0.6809  0.3618  2 Tl 3.45, 2 In 3.59, 1 Sr 3.82
Sr  0.0000  0.1044  0.2089  4 In 3.57-3.68, 2 Sr 3.72-3.82, 2 Tl 3.76
In  0.0000  0.6662  0.0000  1 In 3.16
Sr  0.5000  0.1686  0.7748  3 In 3.34-3.68, 2 Tl 3.37-3.52
Sr  0.5000  0.6062  0.7748  3 In 3.34-3.68, 2 Tl 3.37-3.52



(11)
A geometry-optimized Ca2TiI structure. Source: Alexandria, functional GGA-PBE.

- D(E_F) (states/eV/cell) = 4.532
- space group = Fm-3m, No. 225
- ΔE_f (raw) (meV/atom) = 238

a = 5.6443 Å, b = 5.6443 Å, c = 5.6443 Å
α = 60.00°, β = 60.00°, γ = 60.00°
Last column: nearest neighbours and their distance in Å.
Fractional positions:
Ti  0.0000  0.0000  0.0000  8 Ca 3.46
I  0.5000  0.5000  0.5000  8 Ca 3.46
Ca  0.7500  0.7500  0.7500  4 I 3.46, 4 Ti 3.46
Ca  0.2500  0.2500  0.2500  4 I 3.46, 4 Ti 3.46



(12)
A geometry-optimized Ca2InAu structure. Source: Alexandria, functional GGA-PBE.

- D(E_F) (states/eV/cell) = 2.221
- space group = C2/m, No. 12
- calculated formation energy (kJ/mol of atoms) = -45.5

a = 4.0940 Å, b = 4.0940 Å, c = 8.7107 Å
α = 76.59°, β = 76.59°, γ = 59.74°
Last column: nearest neighbours and their distance in Å.
Fractional positions:
Ca  0.5101  0.5101  0.4706  3 Au 3.00, 3 In 3.32-3.33
Ca  0.9899  0.9899  0.0294  3 Au 3.00, 3 In 3.32-3.33
Au  0.2500  0.2500  0.2500  6 Ca 3.00
In  0.7500  0.7500  0.7500  6 Ca 3.32-3.33



no.,electronic total energy (eV per atom),M_tot (μB/atom)
1,-6.26,0.000
2,-5.65,0.000
3,-4.27,0.000
4,-3.20,0.000
5,-3.13,0.000
6,-4.71,0.000
7,-3.12,0.000
8,-4.52,0.637
9,-4.51,0.000
10,-2.30,0.000
11,-3.12,1.094
12,-2.98,0.000